[1]
First-principles (GGA-PBE) data for a geometry-optimized MgGaGe2Mo structure, as listed in the Alexandria database.

Geometry as POSCAR:
```
MgGaGe2Mo
1.0
4.888 0.000 0.000
0.000 4.888 0.000
0.000 0.000 4.978
Mg Mo Ge Ga
1 1 2 1
Direct
0.500 0.500 0.500
0.000 0.000 0.000
0.000 0.500 0.000
0.500 0.000 0.000
0.000 0.000 0.500
```

The formation energy is 307 meV/atom. The density of states at the Fermi level is 0.840 states/eV per atom.

[2]
First-principles (GGA-PBE) data for a geometry-optimized K2BeH structure, as listed in the Alexandria database.

Geometry as POSCAR:
```
K2BeH
1.0
0.000 3.903 3.903
3.903 0.000 3.903
3.903 3.903 0.000
Be K H
1 2 1
Direct
0.500 0.500 0.500
0.250 0.250 0.250
0.750 0.750 0.750
0.000 0.000 0.000
```

The calculation puts the energy relative to the lowest polymorph listed for this composition at 0.48 eV/f.u. The density of states at the Fermi level is 0.530 states/eV per atom.

[3]
First-principles (GGA-PBE) data for a geometry-optimized Ba2ScUO6 structure, as listed in the Alexandria database.

Geometry as POSCAR:
```
Ba2ScUO6
1.0
-1.202 1.077 -5.828
2.192 -5.445 -1.458
-4.413 0.475 4.135
Sc U Ba O
1 1 2 6
Direct
0.500 0.500 0.000
0.000 0.000 0.000
0.250 0.750 0.500
0.750 0.250 0.500
0.776 0.721 0.000
0.279 0.776 0.000
0.721 0.224 0.000
0.224 0.279 0.000
0.251 0.251 0.502
0.749 0.749 0.498
```

The value obtained for the uncorrected formation energy is -3.25 eV per atom.

[4]
First-principles (GGA-PBE) data for a geometry-optimized LaZrW2 structure, as listed in the Alexandria database.

Geometry as POSCAR:
```
LaZrW2
1.0
3.237 0.000 0.000
0.000 4.845 0.000
0.000 0.000 5.115
La W Zr
1 2 1
Direct
0.000 0.500 0.500
0.000 0.000 0.000
0.500 0.500 0.000
0.500 0.000 0.500
```

The formation energy is 677 meV/atom. The calculation puts the energy relative to the lowest polymorph listed for this composition at 1.71 eV/f.u. The density of states at the Fermi level is 1.243 states/eV per atom.

[5]
First-principles (GGA-PBE) data for a geometry-optimized Sr3PdS structure, as listed in the Alexandria database.

Geometry as POSCAR:
```
Sr3PdS
1.0
5.657 0.000 0.000
0.000 5.657 0.000
0.000 0.000 5.657
Sr S Pd
3 1 1
Direct
0.000 0.500 0.000
0.000 0.000 0.500
0.500 0.000 0.000
0.000 0.000 0.000
0.500 0.500 0.500
```

The value obtained for the uncorrected formation energy is -0.71 eV per atom. The calculation puts the energy relative to the lowest polymorph listed for this composition at 0.00 eV/f.u. The density of states at the Fermi level is 0.538 states/eV per atom.

[6]
First-principles (GGA-PBE) data for a geometry-optimized NaMn2Pd2 structure, as listed in the Alexandria database.

Geometry as POSCAR:
```
NaMn2Pd2
1.0
-4.555 6.141 -0.611
-3.652 -3.295 -5.886
-1.716 -1.105 1.683
Na Mn Pd
2 4 4
Direct
0.000 0.000 0.000
0.500 0.500 0.000
0.090 0.590 0.500
0.590 0.910 0.500
0.910 0.410 0.500
0.410 0.090 0.500
0.302 0.802 0.000
0.802 0.698 0.000
0.698 0.198 0.000
0.198 0.302 0.000
```

The formation energy is 282 meV/atom. The calculation puts the energy relative to the lowest polymorph listed for this composition at 0.21 eV/f.u. The density of states at the Fermi level is 0.957 states/eV per atom.

> Which formula does entry 2 have?

K2BeH